No. 1
KAg2Cl: single point on PBEsol structure, meta-GGA SCAN.

Structure (POSCAR):
```
KAg2Cl
1.0
3.696 0.000 0.000
0.000 4.237 0.000
0.000 0.000 6.246
K Ag Cl
1 2 1
Direct
0.000 0.000 0.000
0.000 0.500 0.500
0.500 0.000 0.500
0.500 0.500 0.000
```

Symmetry   Pmmm, No. 47
E_form (uncorrected)   -528.3 meV/atom
Distance to the lowest polymorph of the same formula   0.00 eV per formula unit

No. 2
KAg2Cl: single point on PBEsol structure, meta-GGA SCAN.

Structure (POSCAR):
```
KAg2Cl
1.0
5.482 0.000 0.000
0.000 12.158 0.000
0.000 0.000 2.936
K Ag Cl
2 4 2
Direct
0.000 0.000 0.000
0.500 0.500 0.000
0.250 0.250 0.500
0.250 0.750 0.500
0.750 0.250 0.500
0.750 0.750 0.500
0.000 0.500 0.000
0.500 0.000 0.000
```

Symmetry   Cmmm, No. 65
E_form (uncorrected)   -191.0 meV/atom
Distance to the lowest polymorph of the same formula   1.35 eV per formula unit